Density functional theory data (PBE-GGA) for MgInSn3 after structural relaxation. Values from VASP.

```
&SYSTEM
  ibrav = 0, nat = 10, ntyp = 3
/
ATOMIC_SPECIES
Mg 24.30 Mg.upf
Sn 118.71 Sn.upf
In 114.82 In.upf
CELL_PARAMETERS angstrom
-2.916 -3.091 -2.664
4.435 0.642 -2.252
4.557 -9.664 6.222
ATOMIC_POSITIONS angstrom
Mg 1.355 -2.183 -4.383
Sn 2.014 -1.006 -1.496
Sn 4.026 -7.590 3.690
Sn 3.721 -4.625 0.834
Sn 3.748 -10.600 3.819
In 2.985 -3.837 -2.004
In 3.798 -9.413 1.025
Sn 2.041 -6.981 1.489
Mg 3.633 -7.015 -1.272
Sn 1.146 -3.063 0.546
```

Computed properties:
Energy of formation from the pure elements, eV/atom: 0.04
Calculated total energy, eV/cell: -32.32
Total magnetic moment, μB/atom: 0.00